No. 1
# TcAg3Cl6 (GGA-PBE, optimized geometry)
data_TcAg3Cl6
_chemical_formula_sum 'Tc2 Ag6 Cl12'
_symmetry_space_group_name_H-M 'P 1 21/c 1'
_symmetry_Int_Tables_number 14
_symmetry_space_group_name_Hall '-P 2ybc'
_cell_length_a 6.7085
_cell_length_b 6.6556
_cell_length_c 12.0795
_cell_angle_alpha 90.00
_cell_angle_beta 121.92
_cell_angle_gamma 90.00
loop_
_atom_site_label
_atom_site_type_symbol
_atom_site_fract_x
_atom_site_fract_y
_atom_site_fract_z
_atom_site_occupancy
Tc1 Tc 0.0000 0.0000 0.0000 1
Ag1 Ag 0.2597 0.0446 0.7610 1
Ag2 Ag 0.5000 0.0000 0.5000 1
Cl1 Cl 0.0710 0.1979 0.4167 1
Cl2 Cl 0.2550 0.6700 0.4462 1
Cl3 Cl 0.3299 0.0840 0.2137 1
# Energy relative to the elements, uncorrected = -0.4682 eV/atom
# Volume = 457.8 Å³/cell

***

No. 2
# Tc2AgCl (GGA-PBE, optimized geometry)
data_Tc2AgCl
_chemical_formula_sum 'Tc4 Ag2 Cl2'
_symmetry_space_group_name_H-M 'I m m 2'
_symmetry_Int_Tables_number 44
_symmetry_space_group_name_Hall 'I 2 -2'
_cell_length_a 2.8272
_cell_length_b 4.8077
_cell_length_c 9.8575
_cell_angle_alpha 90.00
_cell_angle_beta 90.00
_cell_angle_gamma 90.00
loop_
_atom_site_label
_atom_site_type_symbol
_atom_site_fract_x
_atom_site_fract_y
_atom_site_fract_z
_atom_site_occupancy
Tc1 Tc 0.0000 0.0000 0.0000 1
Tc2 Tc 0.0000 0.5000 0.2921 1
Ag1 Ag 0.0000 0.5000 0.7819 1
Cl1 Cl 0.0000 0.0000 0.5667 1
# Energy relative to the elements, uncorrected = 0.7370 eV/atom
# Polymorph energy (0 for the lowest one) = 605 meV/atom
# Volume = 134.0 Å³/cell

***

No. 3
# Tc2AgCl (GGA-PBE, optimized geometry)
data_Tc2AgCl
_chemical_formula_sum 'Tc8 Ag4 Cl4'
_symmetry_space_group_name_H-M 'F m -3 m'
_symmetry_Int_Tables_number 225
_symmetry_space_group_name_Hall '-F 4 2 3'
_cell_length_a 6.2824
_cell_length_b 6.2824
_cell_length_c 6.2824
_cell_angle_alpha 90.00
_cell_angle_beta 90.00
_cell_angle_gamma 90.00
loop_
_atom_site_label
_atom_site_type_symbol
_atom_site_fract_x
_atom_site_fract_y
_atom_site_fract_z
_atom_site_occupancy
Tc1 Tc 0.2500 0.2500 0.2500 1
Ag1 Ag 0.0000 0.0000 0.0000 1
Cl1 Cl 0.0000 0.0000 0.5000 1
# Energy relative to the elements, uncorrected = 1.1778 eV/atom
# Polymorph energy (0 for the lowest one) = 1046 meV/atom
# Volume = 248.0 Å³/cell

***

No. 4
# Tc3AgCl (GGA-PBE, optimized geometry)
data_Tc3AgCl
_chemical_formula_sum 'Tc3 Ag1 Cl1'
_symmetry_space_group_name_H-M 'P m -3 m'
_symmetry_Int_Tables_number 221
_symmetry_space_group_name_Hall '-P 4 2 3'
_cell_length_a 5.1336
_cell_length_b 5.1336
_cell_length_c 5.1336
_cell_angle_alpha 90.00
_cell_angle_beta 90.00
_cell_angle_gamma 90.00
loop_
_atom_site_label
_atom_site_type_symbol
_atom_site_fract_x
_atom_site_fract_y
_atom_site_fract_z
_atom_site_occupancy
Tc1 Tc 0.0000 0.0000 0.5000 1
Ag1 Ag 0.0000 0.0000 0.0000 1
Cl1 Cl 0.5000 0.5000 0.5000 1
# Energy relative to the elements, uncorrected = 2.3617 eV/atom
# Polymorph energy (0 for the lowest one) = 1222 meV/atom
# Volume = 135.3 Å³/cell

***

No. 5
# Tc2AgCl (GGA-PBE, optimized geometry)
data_Tc2AgCl
_chemical_formula_sum 'Tc4 Ag2 Cl2'
_symmetry_space_group_name_H-M 'I 4/m m m'
_symmetry_Int_Tables_number 139
_symmetry_space_group_name_Hall '-I 4 2'
_cell_length_a 3.5148
_cell_length_b 3.5148
_cell_length_c 13.8964
_cell_angle_alpha 90.00
_cell_angle_beta 90.00
_cell_angle_gamma 90.00
loop_
_atom_site_label
_atom_site_type_symbol
_atom_site_fract_x
_atom_site_fract_y
_atom_site_fract_z
_atom_site_occupancy
Tc1 Tc 0.0000 0.5000 0.2500 1
Ag1 Ag 0.0000 0.0000 0.0000 1
Cl1 Cl 0.0000 0.0000 0.5000 1
# Energy relative to the elements, uncorrected = 1.0400 eV/atom
# Polymorph energy (0 for the lowest one) = 908 meV/atom
# Volume = 171.7 Å³/cell

***

No. 6
# Tc2AgCl (GGA-PBE, optimized geometry)
data_Tc2AgCl
_chemical_formula_sum 'Tc4 Ag2 Cl2'
_symmetry_space_group_name_H-M 'C m m m'
_symmetry_Int_Tables_number 65
_symmetry_space_group_name_Hall '-C 2 2'
_cell_length_a 5.9592
_cell_length_b 7.8700
_cell_length_c 2.7153
_cell_angle_alpha 90.00
_cell_angle_beta 90.00
_cell_angle_gamma 90.00
loop_
_atom_site_label
_atom_site_type_symbol
_atom_site_fract_x
_atom_site_fract_y
_atom_site_fract_z
_atom_site_occupancy
Tc1 Tc 0.2500 0.2500 0.0000 1
Ag1 Ag 0.0000 0.0000 0.5000 1
Cl1 Cl 0.0000 0.5000 0.5000 1
# Energy relative to the elements, uncorrected = 1.0847 eV/atom
# Polymorph energy (0 for the lowest one) = 953 meV/atom
# Volume = 127.3 Å³/cell

***

No. 7
# Tc2AgCl (GGA-PBE, optimized geometry)
data_Tc2AgCl
_chemical_formula_sum 'Tc4 Ag2 Cl2'
_symmetry_space_group_name_H-M 'C m m 2'
_symmetry_Int_Tables_number 35
_symmetry_space_group_name_Hall 'C 2 -2'
_cell_length_a 2.9463
_cell_length_b 4.9359
_cell_length_c 9.2064
_cell_angle_alpha 90.00
_cell_angle_beta 90.00
_cell_angle_gamma 90.00
loop_
_atom_site_label
_atom_site_type_symbol
_atom_site_fract_x
_atom_site_fract_y
_atom_site_fract_z
_atom_site_occupancy
Tc1 Tc 0.0000 0.0000 0.0000 1
Tc2 Tc 0.0000 0.5000 0.2224 1
Ag1 Ag 0.0000 0.0000 0.4921 1
Cl1 Cl 0.0000 0.5000 0.7764 1
# Energy relative to the elements, uncorrected = 0.4012 eV/atom
# Polymorph energy (0 for the lowest one) = 269 meV/atom
# Volume = 133.9 Å³/cell

***

No. 8
# Tc2AgCl (GGA-PBE, optimized geometry)
data_Tc2AgCl
_chemical_formula_sum 'Tc2 Ag1 Cl1'
_symmetry_space_group_name_H-M 'P 4/m m m'
_symmetry_Int_Tables_number 123
_symmetry_space_group_name_Hall '-P 4 2'
_cell_length_a 3.5187
_cell_length_b 3.5187
_cell_length_c 6.8548
_cell_angle_alpha 90.00
_cell_angle_beta 90.00
_cell_angle_gamma 90.00
loop_
_atom_site_label
_atom_site_type_symbol
_atom_site_fract_x
_atom_site_fract_y
_atom_site_fract_z
_atom_site_occupancy
Tc1 Tc 0.0000 0.5000 0.0000 1
Ag1 Ag 0.0000 0.0000 0.5000 1
Cl1 Cl 0.5000 0.5000 0.5000 1
# Energy relative to the elements, uncorrected = 1.0374 eV/atom
# Polymorph energy (0 for the lowest one) = 906 meV/atom
# Volume = 84.9 Å³/cell

***

No. 9
# Tc2AgCl (GGA-PBE, optimized geometry)
data_Tc2AgCl
_chemical_formula_sum 'Tc8 Ag4 Cl4'
_symmetry_space_group_name_H-M 'I -4 2 d'
_symmetry_Int_Tables_number 122
_symmetry_space_group_name_Hall 'I -4 2bw'
_cell_length_a 6.9909
_cell_length_b 6.9909
_cell_length_c 5.3657
_cell_angle_alpha 90.00
_cell_angle_beta 90.00
_cell_angle_gamma 90.00
loop_
_atom_site_label
_atom_site_type_symbol
_atom_site_fract_x
_atom_site_fract_y
_atom_site_fract_z
_atom_site_occupancy
Tc1 Tc 0.1824 0.2500 0.1250 1
Ag1 Ag 0.0000 0.0000 0.5000 1
Cl1 Cl 0.0000 0.0000 0.0000 1
# Energy relative to the elements, uncorrected = 1.0738 eV/atom
# Polymorph energy (0 for the lowest one) = 942 meV/atom
# Volume = 262.2 Å³/cell

***

No. 10
# TcAg3Cl9 (GGA-PBE, optimized geometry)
data_TcAg3Cl9
_chemical_formula_sum 'Tc4 Ag12 Cl36'
_symmetry_space_group_name_H-M 'C 1 c 1'
_symmetry_Int_Tables_number 9
_symmetry_space_group_name_Hall 'C -2yc'
_cell_length_a 17.1605
_cell_length_b 8.1008
_cell_length_c 14.0830
_cell_angle_alpha 90.00
_cell_angle_beta 126.22
_cell_angle_gamma 90.00
loop_
_atom_site_label
_atom_site_type_symbol
_atom_site_fract_x
_atom_site_fract_y
_atom_site_fract_z
_atom_site_occupancy
Tc1 Tc 0.0000 0.0940 0.0000 1
Ag1 Ag 0.0193 0.4012 0.3801 1
Ag2 Ag 0.2586 0.0631 0.0677 1
Ag3 Ag 0.2599 0.3615 0.9490 1
Cl1 Cl 0.0143 0.1193 0.6146 1
Cl2 Cl 0.0460 0.0885 0.4033 1
Cl3 Cl 0.1664 0.1649 0.1385 1
Cl4 Cl 0.1946 0.4259 0.5020 1
Cl5 Cl 0.3051 0.0882 0.9370 1
Cl6 Cl 0.3356 0.4608 0.3617 1
Cl7 Cl 0.3510 0.1489 0.7286 1
Cl8 Cl 0.4703 0.2077 0.5885 1
Cl9 Cl 0.4901 0.2138 0.3603 1
# Energy relative to the elements, uncorrected = -0.4556 eV/atom
# Volume = 1579.5 Å³/cell

***

No. 11
# TcAg3Cl (GGA-PBE, optimized geometry)
data_TcAg3Cl
_chemical_formula_sum 'Tc1 Ag3 Cl1'
_symmetry_space_group_name_H-M 'P m -3 m'
_symmetry_Int_Tables_number 221
_symmetry_space_group_name_Hall '-P 4 2 3'
_cell_length_a 5.2392
_cell_length_b 5.2392
_cell_length_c 5.2392
_cell_angle_alpha 90.00
_cell_angle_beta 90.00
_cell_angle_gamma 90.00
loop_
_atom_site_label
_atom_site_type_symbol
_atom_site_fract_x
_atom_site_fract_y
_atom_site_fract_z
_atom_site_occupancy
Tc1 Tc 0.0000 0.0000 0.0000 1
Ag1 Ag 0.0000 0.0000 0.5000 1
Cl1 Cl 0.5000 0.5000 0.5000 1
# Energy relative to the elements, uncorrected = 1.2862 eV/atom
# Polymorph energy (0 for the lowest one) = 0 meV/atom
# Volume = 143.8 Å³/cell

***

No. 12
# TcAg2Cl2 (GGA-PBE, optimized geometry)
data_TcAg2Cl2
_chemical_formula_sum 'Tc2 Ag4 Cl4'
_symmetry_space_group_name_H-M 'P 4/m b m'
_symmetry_Int_Tables_number 127
_symmetry_space_group_name_Hall '-P 4 2ab'
_cell_length_a 6.3295
_cell_length_b 6.3295
_cell_length_c 5.1252
_cell_angle_alpha 90.00
_cell_angle_beta 90.00
_cell_angle_gamma 90.00
loop_
_atom_site_label
_atom_site_type_symbol
_atom_site_fract_x
_atom_site_fract_y
_atom_site_fract_z
_atom_site_occupancy
Tc1 Tc 0.0000 0.0000 0.0000 1
Ag1 Ag 0.2375 0.2625 0.5000 1
Cl1 Cl 0.1687 0.3313 0.0000 1
# Energy relative to the elements, uncorrected = 0.3917 eV/atom
# Polymorph energy (0 for the lowest one) = 0 meV/atom
# Volume = 205.3 Å³/cell

***

No. 13
# TcAg3Cl (GGA-PBE, optimized geometry)
data_TcAg3Cl
_chemical_formula_sum 'Tc1 Ag3 Cl1'
_symmetry_space_group_name_H-M 'P m -3 m'
_symmetry_Int_Tables_number 221
_symmetry_space_group_name_Hall '-P 4 2 3'
_cell_length_a 4.9463
_cell_length_b 4.9463
_cell_length_c 4.9463
_cell_angle_alpha 90.00
_cell_angle_beta 90.00
_cell_angle_gamma 90.00
loop_
_atom_site_label
_atom_site_type_symbol
_atom_site_fract_x
_atom_site_fract_y
_atom_site_fract_z
_atom_site_occupancy
Tc1 Tc 0.0000 0.0000 0.0000 1
Ag1 Ag 0.0000 0.5000 0.5000 1
Cl1 Cl 0.5000 0.5000 0.5000 1
# Energy relative to the elements, uncorrected = 1.3005 eV/atom
# Polymorph energy (0 for the lowest one) = 14 meV/atom
# Volume = 121.0 Å³/cell